VASP calculation (PBE+U) on a geometry-optimized VInBiO5 structure.

## Properties
DFT total energy: -6.41 eV per atom
Volume: 231 Å³ per cell

Lattice parameters (Å, degrees): 5.9866 5.9866 7.4800 103.97 103.97 108.68
Last column: magnetic moment on the atom in μB.
Sites, in units of the cell vectors:
1 V 0.6711 0.3289 0.2500  0.99
2 V 0.3289 0.6711 0.7500  0.99
3 In 0.0000 0.0000 0.5000  0.02
4 In 0.0000 0.0000 0.0000  0.02
5 Bi 0.3119 0.6881 0.2500  0.02
6 Bi 0.6881 0.3119 0.7500  0.02
7 O 0.0927 0.9073 0.2500  0.00
8 O 0.9073 0.0927 0.7500  0.00
9 O 0.8966 0.3310 0.1136  -0.01
10 O 0.1034 0.6690 0.8864  -0.01
11 O 0.6690 0.1034 0.3864  -0.01
12 O 0.3310 0.8966 0.6136  -0.01
13 O 0.7280 0.6179 0.4295  -0.02
14 O 0.2720 0.3821 0.5705  -0.02
15 O 0.3821 0.2720 0.0705  -0.02
16 O 0.6179 0.7280 0.9295  -0.02